No. 1
Density functional theory data (PBE) for a relaxed NaAu11 crystal.

a = 7.482 Å, b = 8.876 Å, c = 8.876 Å
α = 79.77°, β = 65.07°, γ = 65.07°
Sites, in units of the cell vectors:
Na: 0.250 0.500 0.500
Au: 0.375 0.750 0.750
Au: 0.430 0.826 0.415
Au: 0.006 0.674 0.915
Au: 0.079 0.915 0.326
Au: 0.430 0.415 0.826
Au: 0.079 0.326 0.915
Au: 0.671 0.174 0.585
Au: 0.000 0.000 0.000
Au: 0.875 0.250 0.250
Au: 0.875 0.250 0.750
Au: 0.875 0.750 0.250
Au: 0.155 0.174 0.415
Au: 0.595 0.085 0.326
Au: 0.595 0.326 0.085
Au: 0.155 0.415 0.174
Au: 0.320 0.674 0.085
Au: 0.671 0.585 0.174
Au: 0.744 0.585 0.826
Au: 0.006 0.915 0.674
Na: 0.500 0.000 0.000
Au: 0.320 0.085 0.674
Au: 0.750 0.500 0.500
Au: 0.744 0.826 0.585

Computed properties:
The calculated density is 15.00 g/cm3. The value obtained for the total magnetization is 0.00 μB per formula unit. The value obtained for the total energy is -3.1432 eV per atom. The calculation puts the formation energy at -0.03 eV per atom.

=====

No. 2
Density functional theory data (PBE) for a relaxed NaCa2Dy3Te6 crystal.

a = 4.387 Å, b = 8.969 Å, c = 9.979 Å
α = 104.60°, β = 102.70°, γ = 90.00°
Sites, in units of the cell vectors:
Dy: 0.166 0.831 0.332
Ca: 0.165 0.329 0.329
Te: 0.002 0.745 0.004
Te: 0.334 0.415 0.668
Te: 0.666 0.585 0.332
Ca: 0.835 0.671 0.671
Dy: 0.834 0.169 0.668
Dy: 0.500 0.500 0.000
Te: 0.669 0.078 0.337
Na: 0.500 0.000 0.000
Te: 0.998 0.255 0.996
Te: 0.331 0.922 0.663

Computed properties:
As for the uncorrected formation energy: -1.412 eV per atom. The calculated density is 6.09 g/cm3. The value obtained for the total magnetization is 0.00 μB per formula unit. The value obtained for the total energy is -4.5767 eV per atom.

=====

No. 3
Density functional theory data (PBE) for a relaxed KY crystal.

a = 7.493 Å, b = 7.493 Å, c = 7.493 Å
α = 28.32°, β = 28.32°, γ = 28.32°
Sites, in units of the cell vectors:
Y: 0.500 0.500 0.500
K: 0.000 0.000 0.000

Computed properties:
The calculated density is 2.54 g/cm3. The value obtained for the total magnetization is 0.00 μB per formula unit. The value obtained for the total energy is -3.2908 eV per atom. The calculation puts the formation energy at 0.49 eV per atom.

=====

No. 4
Density functional theory data (PBE) for a relaxed LiReTc2 crystal.

a = 4.280 Å, b = 2.616 Å, c = 5.104 Å
α = 81.18°, β = 90.00°, γ = 90.00°
Sites, in units of the cell vectors:
Re: 0.500 0.750 0.750
Tc: 0.000 0.975 0.012
Tc: 0.000 0.525 0.488
Li: 0.500 0.250 0.250

Computed properties:
The calculated density is 11.44 g/cm3. The value obtained for the total magnetization is 0.00 μB per formula unit. The value obtained for the total energy is -8.5990 eV per atom. The calculation puts the formation energy at 0.17 eV per atom. The energy relative to the lowest polymorph listed for this composition is 44 meV/atom.

=====

Which value of calculated density does entry 2 give? 6.09 g/cm3

=====

Among the records above, which one has the highest calculated density? NaAu11

=====

Which value of calculated density does entry 2 give? 6.09 g/cm3

=====

What is the formula in the first record? NaAu11